Density functional theory data (PBE-GGA) for a relaxed structure of WAuSe3.

```
data_WAuSe3
_space_group_name_H-M_alt 'P m -3 m'
_space_group_IT_number 221
_space_group_name_Hall '-P 4 2 3'
_cell_length_a 4.9273
_cell_length_b 4.9273
_cell_length_c 4.9273
_cell_angle_alpha 90.00
_cell_angle_beta 90.00
_cell_angle_gamma 90.00
loop_
_atom_site_label
_atom_site_type_symbol
_atom_site_fract_x
_atom_site_fract_y
_atom_site_fract_z
W1 W 0.0000 0.0000 0.0000
Au1 Au 0.5000 0.5000 0.5000
Se1 Se 0.0000 0.0000 0.5000
```

The uncorrected energy is -4.838 eV per atom.



Density functional theory data (PBE-GGA) for a relaxed structure of LiDy3U3S8.

```
data_LiDy3U3S8
_space_group_name_H-M_alt 'R -3 m'
_space_group_IT_number 166
_space_group_name_Hall '-R 3 2"'
_cell_length_a 7.6852
_cell_length_b 7.6852
_cell_length_c 19.2790
_cell_angle_alpha 90.00
_cell_angle_beta 90.00
_cell_angle_gamma 120.00
loop_
_atom_site_label
_atom_site_type_symbol
_atom_site_fract_x
_atom_site_fract_y
_atom_site_fract_z
Li1 Li 0.0000 0.0000 0.0000
Dy1 Dy 0.0000 0.5000 0.5000
U1 U 0.0000 0.5000 0.0000
S1 S 0.0000 0.0000 0.2490
S2 S 0.0043 0.5022 0.7485
```

The uncorrected energy is -7.172 eV per atom.



Density functional theory data (PBE-GGA) for a relaxed structure of La2BiAu.

```
data_La2BiAu
_space_group_name_H-M_alt 'I -4 2 d'
_space_group_IT_number 122
_space_group_name_Hall 'I -4 2bw'
_cell_length_a 8.3426
_cell_length_b 8.3426
_cell_length_c 7.8244
_cell_angle_alpha 90.00
_cell_angle_beta 90.00
_cell_angle_gamma 90.00
loop_
_atom_site_label
_atom_site_type_symbol
_atom_site_fract_x
_atom_site_fract_y
_atom_site_fract_z
La1 La 0.2242 0.2500 0.1250
Bi1 Bi 0.0000 0.0000 0.5000
Au1 Au 0.0000 0.0000 0.0000
```

The formation enthalpy at 0 K comes out at -644 meV/atom.



Density functional theory data (PBE-GGA) for a relaxed structure of NdScAgGe.

```
data_NdScAgGe
_space_group_name_H-M_alt 'F -4 3 m'
_space_group_IT_number 216
_space_group_name_Hall 'F -4 2 3'
_cell_length_a 7.1335
_cell_length_b 7.1335
_cell_length_c 7.1335
_cell_angle_alpha 90.00
_cell_angle_beta 90.00
_cell_angle_gamma 90.00
loop_
_atom_site_label
_atom_site_type_symbol
_atom_site_fract_x
_atom_site_fract_y
_atom_site_fract_z
Nd1 Nd 0.0000 0.0000 0.0000
Sc1 Sc 0.0000 0.0000 0.5000
Ag1 Ag 0.2500 0.2500 0.7500
Ge1 Ge 0.2500 0.2500 0.2500
```

The formation enthalpy at 0 K comes out at -473 meV/atom.



Density functional theory data (PBE-GGA) for a relaxed structure of CsNbTcS3.

```
data_CsNbTcS3
_space_group_name_H-M_alt 'P 1 21/m 1'
_space_group_IT_number 11
_space_group_name_Hall '-P 2yb'
_cell_length_a 9.0919
_cell_length_b 3.5841
_cell_length_c 9.9316
_cell_angle_alpha 90.00
_cell_angle_beta 117.17
_cell_angle_gamma 90.00
loop_
_atom_site_label
_atom_site_type_symbol
_atom_site_fract_x
_atom_site_fract_y
_atom_site_fract_z
Cs1 Cs 0.0103 0.2500 0.2498
Nb1 Nb 0.4710 0.2500 0.1639
Tc1 Tc 0.4783 0.7500 0.3897
S1 S 0.2650 0.7500 0.1371
S2 S 0.3375 0.7500 0.5518
S3 S 0.3455 0.2500 0.8716
```

The uncorrected energy is -6.536 eV per atom.



Density functional theory data (PBE-GGA) for a relaxed structure of LaPr3Pu2S6.

```
data_LaPr3Pu2S6
_space_group_name_H-M_alt 'C 1 2/m 1'
_space_group_IT_number 12
_space_group_name_Hall '-C 2y'
_cell_length_a 7.0385
_cell_length_b 12.1881
_cell_length_c 7.0595
_cell_angle_alpha 90.00
_cell_angle_beta 109.41
_cell_angle_gamma 90.00
loop_
_atom_site_label
_atom_site_type_symbol
_atom_site_fract_x
_atom_site_fract_y
_atom_site_fract_z
La1 La 0.0000 0.0000 0.0000
Pr1 Pr 0.0000 0.1644 0.5000
Pr2 Pr 0.0000 0.5000 0.5000
Pu1 Pu 0.0000 0.3329 0.0000
S1 S 0.2380 0.5000 0.2404
S2 S 0.2479 0.3291 0.7572
```

The uncorrected energy is -8.025 eV per atom.



Density functional theory data (PBE-GGA) for a relaxed structure of AlZn2In.

```
data_AlZn2In
_space_group_name_H-M_alt 'P 4/m m m'
_space_group_IT_number 123
_space_group_name_Hall '-P 4 2'
_cell_length_a 4.7458
_cell_length_b 4.7458
_cell_length_c 3.3936
_cell_angle_alpha 90.00
_cell_angle_beta 90.00
_cell_angle_gamma 90.00
loop_
_atom_site_label
_atom_site_type_symbol
_atom_site_fract_x
_atom_site_fract_y
_atom_site_fract_z
Al1 Al 0.0000 0.0000 0.0000
Zn1 Zn 0.0000 0.5000 0.5000
In1 In 0.5000 0.5000 0.0000
```

The formation enthalpy at 0 K comes out at 189 meV/atom.



Density functional theory data (PBE-GGA) for a relaxed structure of Ba2TaTe.

```
data_Ba2TaTe
_space_group_name_H-M_alt 'I -4 m 2'
_space_group_IT_number 119
_space_group_name_Hall 'I -4 -2'
_cell_length_a 4.9815
_cell_length_b 4.9815
_cell_length_c 11.8037
_cell_angle_alpha 90.00
_cell_angle_beta 90.00
_cell_angle_gamma 90.00
loop_
_atom_site_label
_atom_site_type_symbol
_atom_site_fract_x
_atom_site_fract_y
_atom_site_fract_z
Ba1 Ba 0.0000 0.0000 0.0000
Ba2 Ba 0.0000 0.5000 0.2500
Ta1 Ta 0.0000 0.5000 0.7500
Te1 Te 0.0000 0.0000 0.5000
```

The uncorrected energy is -4.320 eV per atom.



Density functional theory data (PBE-GGA) for a relaxed structure of MnBeVTc.

```
data_MnBeVTc
_space_group_name_H-M_alt 'F -4 3 m'
_space_group_IT_number 216
_space_group_name_Hall 'F -4 2 3'
_cell_length_a 5.8098
_cell_length_b 5.8098
_cell_length_c 5.8098
_cell_angle_alpha 90.00
_cell_angle_beta 90.00
_cell_angle_gamma 90.00
loop_
_atom_site_label
_atom_site_type_symbol
_atom_site_fract_x
_atom_site_fract_y
_atom_site_fract_z
Mn1 Mn 0.0000 0.0000 0.0000
Be1 Be 0.2500 0.2500 0.7500
V1 V 0.2500 0.2500 0.2500
Tc1 Tc 0.0000 0.0000 0.5000
```

The formation enthalpy at 0 K comes out at -123 meV/atom.



Density functional theory data (PBE-GGA) for a relaxed structure of PrNdAlCu.

```
data_PrNdAlCu
_space_group_name_H-M_alt 'F -4 3 m'
_space_group_IT_number 216
_space_group_name_Hall 'F -4 2 3'
_cell_length_a 7.3971
_cell_length_b 7.3971
_cell_length_c 7.3971
_cell_angle_alpha 90.00
_cell_angle_beta 90.00
_cell_angle_gamma 90.00
loop_
_atom_site_label
_atom_site_type_symbol
_atom_site_fract_x
_atom_site_fract_y
_atom_site_fract_z
Pr1 Pr 0.0000 0.0000 0.0000
Nd1 Nd 0.0000 0.0000 0.5000
Al1 Al 0.2500 0.2500 0.7500
Cu1 Cu 0.2500 0.2500 0.2500
```

The formation enthalpy at 0 K comes out at -198 meV/atom.



Density functional theory data (PBE-GGA) for a relaxed structure of Sr4AsAuN.

```
data_Sr4AsAuN
_space_group_name_H-M_alt 'C m c m'
_space_group_IT_number 63
_space_group_name_Hall '-C 2c 2'
_cell_length_a 7.1922
_cell_length_b 15.8981
_cell_length_c 7.2717
_cell_angle_alpha 90.00
_cell_angle_beta 90.00
_cell_angle_gamma 90.00
loop_
_atom_site_label
_atom_site_type_symbol
_atom_site_fract_x
_atom_site_fract_y
_atom_site_fract_z
Sr1 Sr 0.0000 0.0793 0.2500
Sr2 Sr 0.0000 0.4114 0.2500
Sr3 Sr 0.2500 0.2500 0.0000
As1 As 0.0000 0.1179 0.7500
Au1 Au 0.0000 0.3886 0.7500
N1 N 0.0000 0.2493 0.2500
```

The uncorrected energy is -4.046 eV per atom.